# GGA-PBEsol ZrTlIn, optimized geometry
# M_tot: 0.00 μB/cell
# Space-group type: I4mm, No. 107
# Total DFT energy (no corrections): -4.933 eV per atom
# Energy relative to the elements: -0.10 eV per formula unit
data_ZrTlIn
_cell_length_a 6.808
_cell_length_b 6.808
_cell_length_c 6.808
_cell_angle_alpha 152.17
_cell_angle_beta 152.17
_cell_angle_gamma 39.76
_symmetry_space_group_name_H-M 'P 1'
_symmetry_Int_Tables_number 1
_symmetry_space_group_name_Hall 'P 1'
loop_
_atom_site_label
_atom_site_type_symbol
_atom_site_fract_x
_atom_site_fract_y
_atom_site_fract_z
Zr1 Zr 0.000 0.000 0.000
Tl1 Tl 0.335 0.335 0.000
In1 In 0.656 0.656 0.000

---

# GGA-PBEsol TlCdTe, optimized geometry
# M_tot: 0.00 μB/cell
# Space-group type: F-43m, No. 216
# Raw formation energy: 144 meV/atom
# Total DFT energy (no corrections): -2.307 eV per atom
data_TlCdTe
_cell_length_a 5.154
_cell_length_b 5.154
_cell_length_c 5.154
_cell_angle_alpha 60.00
_cell_angle_beta 60.00
_cell_angle_gamma 60.00
_symmetry_space_group_name_H-M 'P 1'
_symmetry_Int_Tables_number 1
_symmetry_space_group_name_Hall 'P 1'
loop_
_atom_site_label
_atom_site_type_symbol
_atom_site_fract_x
_atom_site_fract_y
_atom_site_fract_z
Tl1 Tl 0.000 0.000 0.000
Cd1 Cd 0.250 0.250 0.250
Te1 Te 0.750 0.750 0.750

---

# GGA-PBEsol InAuBr2, optimized geometry
# M_tot: 0.00 μB/cell
# Space-group type: I-4m2, No. 119
# Raw formation energy: -37 meV/atom
# Relative energy among the computed polymorphs: 54 meV per atom
# Total DFT energy (no corrections): -2.698 eV per atom
data_InAuBr2
_cell_length_a 6.689
_cell_length_b 6.689
_cell_length_c 6.689
_cell_angle_alpha 144.51
_cell_angle_beta 144.51
_cell_angle_gamma 51.07
_symmetry_space_group_name_H-M 'P 1'
_symmetry_Int_Tables_number 1
_symmetry_space_group_name_Hall 'P 1'
loop_
_atom_site_label
_atom_site_type_symbol
_atom_site_fract_x
_atom_site_fract_y
_atom_site_fract_z
In1 In 0.000 0.000 0.000
Au1 Au 0.750 0.250 0.500
Br1 Br 0.250 0.750 0.500
Br2 Br 0.500 0.500 0.000

---

# GGA-PBEsol TlAuN2, optimized geometry
# M_tot: 0.00 μB/cell
# Space-group type: R-3m, No. 166
# Raw formation energy: 1153 meV/atom
# Total DFT energy (no corrections): -4.749 eV per atom
data_TlAuN2
_cell_length_a 6.478
_cell_length_b 6.478
_cell_length_c 6.478
_cell_angle_alpha 31.03
_cell_angle_beta 31.03
_cell_angle_gamma 31.03
_symmetry_space_group_name_H-M 'P 1'
_symmetry_Int_Tables_number 1
_symmetry_space_group_name_Hall 'P 1'
loop_
_atom_site_label
_atom_site_type_symbol
_atom_site_fract_x
_atom_site_fract_y
_atom_site_fract_z
Tl1 Tl 0.000 0.000 0.000
Au1 Au 0.500 0.500 0.500
N1 N 0.397 0.397 0.397
N2 N 0.603 0.603 0.603

---

# GGA-PBEsol CuTe2Pb, optimized geometry
# M_tot: 0.00 μB/cell
# Space-group type: P4mm, No. 99
# Raw formation energy: 30 meV/atom
# Total DFT energy (no corrections): -3.816 eV per atom
data_CuTe2Pb
_cell_length_a 3.864
_cell_length_b 3.864
_cell_length_c 7.557
_cell_angle_alpha 90.00
_cell_angle_beta 90.00
_cell_angle_gamma 90.00
_symmetry_space_group_name_H-M 'P 1'
_symmetry_Int_Tables_number 1
_symmetry_space_group_name_Hall 'P 1'
loop_
_atom_site_label
_atom_site_type_symbol
_atom_site_fract_x
_atom_site_fract_y
_atom_site_fract_z
Cu1 Cu 0.000 0.000 0.000
Te1 Te 0.000 0.000 0.658
Te2 Te 0.500 0.500 0.052
Pb1 Pb 0.500 0.500 0.468

---

# GGA-PBEsol Y5Pt4, optimized geometry
# M_tot: 0.00 μB/cell
# Space-group type: Pnma, No. 62
# Total DFT energy (no corrections): -8.000 eV per atom
# Energy relative to the elements: -10.04 eV per formula unit
data_Y5Pt4
_cell_length_a 7.396
_cell_length_b 14.461
_cell_length_c 7.498
_cell_angle_alpha 90.00
_cell_angle_beta 90.00
_cell_angle_gamma 90.00
_symmetry_space_group_name_H-M 'P 1'
_symmetry_Int_Tables_number 1
_symmetry_space_group_name_Hall 'P 1'
loop_
_atom_site_label
_atom_site_type_symbol
_atom_site_fract_x
_atom_site_fract_y
_atom_site_fract_z
Y1 Y 0.001 0.093 0.180
Y2 Y 0.001 0.407 0.180
Y3 Y 0.157 0.123 0.668
Y4 Y 0.157 0.377 0.668
Y5 Y 0.180 0.750 0.512
Y6 Y 0.320 0.250 0.012
Y7 Y 0.343 0.623 0.168
Y8 Y 0.343 0.877 0.168
Y9 Y 0.499 0.593 0.680
Y10 Y 0.499 0.907 0.680
Y11 Y 0.501 0.093 0.320
Y12 Y 0.501 0.407 0.320
Y13 Y 0.657 0.123 0.832
Y14 Y 0.657 0.377 0.832
Y15 Y 0.680 0.750 0.988
Y16 Y 0.820 0.250 0.488
Y17 Y 0.843 0.623 0.332
Y18 Y 0.843 0.877 0.332
Y19 Y 0.999 0.593 0.820
Y20 Y 0.999 0.907 0.820
Pt1 Pt 0.047 0.750 0.110
Pt2 Pt 0.182 0.541 0.467
Pt3 Pt 0.182 0.959 0.467
Pt4 Pt 0.186 0.250 0.358
Pt5 Pt 0.314 0.750 0.858
Pt6 Pt 0.318 0.041 0.967
Pt7 Pt 0.318 0.459 0.967
Pt8 Pt 0.453 0.250 0.610
Pt9 Pt 0.547 0.750 0.390
Pt10 Pt 0.682 0.541 0.033
Pt11 Pt 0.682 0.959 0.033
Pt12 Pt 0.686 0.250 0.142
Pt13 Pt 0.814 0.750 0.642
Pt14 Pt 0.818 0.041 0.533
Pt15 Pt 0.818 0.459 0.533
Pt16 Pt 0.953 0.250 0.890

---

# GGA-PBEsol CaMnPt, optimized geometry
# M_tot: 4.56 μB/cell
# Space-group type: F-43m, No. 216
# Total DFT energy (no corrections): -5.627 eV per atom
# Energy relative to the elements: 1.98 eV per formula unit
data_CaMnPt
_cell_length_a 4.546
_cell_length_b 4.546
_cell_length_c 4.546
_cell_angle_alpha 60.00
_cell_angle_beta 60.00
_cell_angle_gamma 60.00
_symmetry_space_group_name_H-M 'P 1'
_symmetry_Int_Tables_number 1
_symmetry_space_group_name_Hall 'P 1'
loop_
_atom_site_label
_atom_site_type_symbol
_atom_site_fract_x
_atom_site_fract_y
_atom_site_fract_z
Ca1 Ca 0.000 0.000 0.000
Mn1 Mn 0.750 0.750 0.750
Pt1 Pt 0.250 0.250 0.250

---

# GGA-PBEsol TaAgSb3, optimized geometry
# M_tot: 1.97 μB/cell
# Space-group type: Pm-3m, No. 221
# Raw formation energy: 1336 meV/atom
# Total DFT energy (no corrections): -4.571 eV per atom
data_TaAgSb3
_cell_length_a 5.140
_cell_length_b 5.140
_cell_length_c 5.140
_cell_angle_alpha 90.00
_cell_angle_beta 90.00
_cell_angle_gamma 90.00
_symmetry_space_group_name_H-M 'P 1'
_symmetry_Int_Tables_number 1
_symmetry_space_group_name_Hall 'P 1'
loop_
_atom_site_label
_atom_site_type_symbol
_atom_site_fract_x
_atom_site_fract_y
_atom_site_fract_z
Ta1 Ta 0.000 0.000 0.000
Ag1 Ag 0.500 0.500 0.500
Sb1 Sb 0.000 0.500 0.500
Sb2 Sb 0.500 0.000 0.500
Sb3 Sb 0.500 0.500 0.000

---

# GGA-PBEsol Cd3Au2, optimized geometry
# M_tot: 0.00 μB/cell
# Space-group type: C2/m, No. 12
# Relative energy among the computed polymorphs: 46 meV per atom
# Total DFT energy (no corrections): -2.407 eV per atom
# Energy relative to the elements: -0.60 eV per formula unit
data_Cd3Au2
_cell_length_a 5.123
_cell_length_b 5.123
_cell_length_c 7.176
_cell_angle_alpha 122.63
_cell_angle_beta 122.63
_cell_angle_gamma 36.83
_symmetry_space_group_name_H-M 'P 1'
_symmetry_Int_Tables_number 1
_symmetry_space_group_name_Hall 'P 1'
loop_
_atom_site_label
_atom_site_type_symbol
_atom_site_fract_x
_atom_site_fract_y
_atom_site_fract_z
Cd1 Cd 0.000 0.000 0.000
Cd2 Cd 0.402 0.402 0.593
Cd3 Cd 0.598 0.598 0.407
Au1 Au 0.205 0.205 0.804
Au2 Au 0.795 0.795 0.196

---

# GGA-PBEsol AgMo2As, optimized geometry
# M_tot: 0.00 μB/cell
# Space-group type: P4/mmm, No. 123
# Total DFT energy (no corrections): -7.722 eV per atom
# Energy relative to the elements: 1.06 eV per formula unit
data_AgMo2As
_cell_length_a 3.035
_cell_length_b 3.035
_cell_length_c 6.659
_cell_angle_alpha 90.00
_cell_angle_beta 90.00
_cell_angle_gamma 90.00
_symmetry_space_group_name_H-M 'P 1'
_symmetry_Int_Tables_number 1
_symmetry_space_group_name_Hall 'P 1'
loop_
_atom_site_label
_atom_site_type_symbol
_atom_site_fract_x
_atom_site_fract_y
_atom_site_fract_z
Ag1 Ag 0.000 0.000 0.000
Mo1 Mo 0.500 0.500 0.281
Mo2 Mo 0.500 0.500 0.719
As1 As 0.000 0.000 0.500

---

# GGA-PBEsol Na2SnPb, optimized geometry
# M_tot: 0.00 μB/cell
# Space-group type: Fm-3m, No. 225
# Total DFT energy (no corrections): -2.879 eV per atom
# Energy relative to the elements: -0.46 eV per formula unit
data_Na2SnPb
_cell_length_a 5.268
_cell_length_b 5.268
_cell_length_c 5.268
_cell_angle_alpha 60.00
_cell_angle_beta 60.00
_cell_angle_gamma 60.00
_symmetry_space_group_name_H-M 'P 1'
_symmetry_Int_Tables_number 1
_symmetry_space_group_name_Hall 'P 1'
loop_
_atom_site_label
_atom_site_type_symbol
_atom_site_fract_x
_atom_site_fract_y
_atom_site_fract_z
Na1 Na 0.250 0.250 0.250
Na2 Na 0.750 0.750 0.750
Sn1 Sn 0.000 0.000 0.000
Pb1 Pb 0.500 0.500 0.500

---

# GGA-PBEsol LiZr, optimized geometry
# M_tot: 0.00 μB/cell
# Space-group type: P4/mmm, No. 123
# Relative energy among the computed polymorphs: 261 meV per atom
# Total DFT energy (no corrections): -5.168 eV per atom
# Energy relative to the elements: 0.72 eV per formula unit
data_LiZr
_cell_length_a 2.860
_cell_length_b 2.860
_cell_length_c 4.775
_cell_angle_alpha 90.00
_cell_angle_beta 90.00
_cell_angle_gamma 90.00
_symmetry_space_group_name_H-M 'P 1'
_symmetry_Int_Tables_number 1
_symmetry_space_group_name_Hall 'P 1'
loop_
_atom_site_label
_atom_site_type_symbol
_atom_site_fract_x
_atom_site_fract_y
_atom_site_fract_z
Li1 Li 0.000 0.000 0.000
Zr1 Zr 0.500 0.500 0.500

---

# GGA-PBEsol ZrTa2Ag, optimized geometry
# M_tot: 0.00 μB/cell
# Space-group type: Pmmm, No. 47
# Relative energy among the computed polymorphs: 91 meV per atom
# Total DFT energy (no corrections): -9.208 eV per atom
# Energy relative to the elements: 0.67 eV per formula unit
data_ZrTa2Ag
_cell_length_a 3.423
_cell_length_b 4.528
_cell_length_c 4.686
_cell_angle_alpha 90.00
_cell_angle_beta 90.00
_cell_angle_gamma 90.00
_symmetry_space_group_name_H-M 'P 1'
_symmetry_Int_Tables_number 1
_symmetry_space_group_name_Hall 'P 1'
loop_
_atom_site_label
_atom_site_type_symbol
_atom_site_fract_x
_atom_site_fract_y
_atom_site_fract_z
Zr1 Zr 0.000 0.000 0.000
Ta1 Ta 0.000 0.500 0.500
Ta2 Ta 0.500 0.000 0.500
Ag1 Ag 0.500 0.500 0.000

---

# GGA-PBEsol RbBaW3, optimized geometry
# M_tot: 0.00 μB/cell
# Space-group type: Pm-3m, No. 221
# Total DFT energy (no corrections): -5.233 eV per atom
# Energy relative to the elements: 18.43 eV per formula unit
data_RbBaW3
_cell_length_a 4.920
_cell_length_b 4.920
_cell_length_c 4.920
_cell_angle_alpha 90.00
_cell_angle_beta 90.00
_cell_angle_gamma 90.00
_symmetry_space_group_name_H-M 'P 1'
_symmetry_Int_Tables_number 1
_symmetry_space_group_name_Hall 'P 1'
loop_
_atom_site_label
_atom_site_type_symbol
_atom_site_fract_x
_atom_site_fract_y
_atom_site_fract_z
Rb1 Rb 0.000 0.000 0.000
Ba1 Ba 0.500 0.500 0.500
W1 W 0.000 0.000 0.500
W2 W 0.000 0.500 0.000
W3 W 0.500 0.000 0.000

---

# GGA-PBEsol TaSeSCl2, optimized geometry
# M_tot: 1.71 μB/cell
# Space-group type: P4/mmm, No. 123
# Raw formation energy: -185 meV/atom
# Total DFT energy (no corrections): -5.145 eV per atom
data_TaSeSCl2
_cell_length_a 4.777
_cell_length_b 4.777
_cell_length_c 4.745
_cell_angle_alpha 90.00
_cell_angle_beta 90.00
_cell_angle_gamma 90.00
_symmetry_space_group_name_H-M 'P 1'
_symmetry_Int_Tables_number 1
_symmetry_space_group_name_Hall 'P 1'
loop_
_atom_site_label
_atom_site_type_symbol
_atom_site_fract_x
_atom_site_fract_y
_atom_site_fract_z
Ta1 Ta 0.000 0.000 0.000
Se1 Se 0.500 0.500 0.500
S1 S 0.000 0.000 0.500
Cl1 Cl 0.000 0.500 0.000
Cl2 Cl 0.500 0.000 0.000

---

# GGA-PBEsol As2SeBrCl, optimized geometry
# M_tot: 0.01 μB/cell
# Space-group type: P4/mmm, No. 123
# Raw formation energy: 1032 meV/atom
# Relative energy among the computed polymorphs: 0 meV per atom
# Total DFT energy (no corrections): -2.556 eV per atom
data_As2SeBrCl
_cell_length_a 4.958
_cell_length_b 4.958
_cell_length_c 4.932
_cell_angle_alpha 90.00
_cell_angle_beta 90.00
_cell_angle_gamma 90.00
_symmetry_space_group_name_H-M 'P 1'
_symmetry_Int_Tables_number 1
_symmetry_space_group_name_Hall 'P 1'
loop_
_atom_site_label
_atom_site_type_symbol
_atom_site_fract_x
_atom_site_fract_y
_atom_site_fract_z
As1 As 0.000 0.500 0.000
As2 As 0.500 0.000 0.000
Se1 Se 0.000 0.000 0.500
Br1 Br 0.500 0.500 0.500
Cl1 Cl 0.000 0.000 0.000

---

# GGA-PBEsol Be2NiSb, optimized geometry
# M_tot: 0.00 μB/cell
# Space-group type: P4mm, No. 99
# Raw formation energy: 240 meV/atom
# Total DFT energy (no corrections): -4.439 eV per atom
data_Be2NiSb
_cell_length_a 3.050
_cell_length_b 3.050
_cell_length_c 5.591
_cell_angle_alpha 90.00
_cell_angle_beta 90.00
_cell_angle_gamma 90.00
_symmetry_space_group_name_H-M 'P 1'
_symmetry_Int_Tables_number 1
_symmetry_space_group_name_Hall 'P 1'
loop_
_atom_site_label
_atom_site_type_symbol
_atom_site_fract_x
_atom_site_fract_y
_atom_site_fract_z
Be1 Be 0.000 0.000 0.000
Be2 Be 0.500 0.500 0.201
Ni1 Ni 0.000 0.000 0.371
Sb1 Sb 0.500 0.500 0.690

---

# GGA-PBEsol CoCuBr, optimized geometry
# M_tot: 1.67 μB/cell
# Space-group type: I4mm, No. 107
# Raw formation energy: 617 meV/atom
# Total DFT energy (no corrections): -4.030 eV per atom
data_CoCuBr
_cell_length_a 5.364
_cell_length_b 5.364
_cell_length_c 5.364
_cell_angle_alpha 147.42
_cell_angle_beta 147.42
_cell_angle_gamma 46.74
_symmetry_space_group_name_H-M 'P 1'
_symmetry_Int_Tables_number 1
_symmetry_space_group_name_Hall 'P 1'
loop_
_atom_site_label
_atom_site_type_symbol
_atom_site_fract_x
_atom_site_fract_y
_atom_site_fract_z
Co1 Co 0.000 0.000 0.000
Cu1 Cu 0.644 0.644 0.000
Br1 Br 0.357 0.357 0.000

---

# GGA-PBEsol TlPt2Pb, optimized geometry
# M_tot: 0.00 μB/cell
# Space-group type: Amm2, No. 38
# Total DFT energy (no corrections): -5.216 eV per atom
# Energy relative to the elements: -0.31 eV per formula unit
data_TlPt2Pb
_cell_length_a 4.095
_cell_length_b 5.669
_cell_length_c 5.669
_cell_angle_alpha 38.00
_cell_angle_beta 90.00
_cell_angle_gamma 90.00
_symmetry_space_group_name_H-M 'P 1'
_symmetry_Int_Tables_number 1
_symmetry_space_group_name_Hall 'P 1'
loop_
_atom_site_label
_atom_site_type_symbol
_atom_site_fract_x
_atom_site_fract_y
_atom_site_fract_z
Tl1 Tl 0.000 0.000 0.000
Pt1 Pt 0.000 0.269 0.269
Pt2 Pt 0.500 0.436 0.436
Pb1 Pb 0.500 0.700 0.700

---

# GGA-PBEsol BaFe2Co, optimized geometry
# M_tot: 6.59 μB/cell
# Space-group type: P4mm, No. 99
# Relative energy among the computed polymorphs: 0 meV per atom
# Total DFT energy (no corrections): -6.352 eV per atom
# Energy relative to the elements: 2.41 eV per formula unit
data_BaFe2Co
_cell_length_a 3.112
_cell_length_b 3.112
_cell_length_c 7.222
_cell_angle_alpha 90.00
_cell_angle_beta 90.00
_cell_angle_gamma 90.00
_symmetry_space_group_name_H-M 'P 1'
_symmetry_Int_Tables_number 1
_symmetry_space_group_name_Hall 'P 1'
loop_
_atom_site_label
_atom_site_type_symbol
_atom_site_fract_x
_atom_site_fract_y
_atom_site_fract_z
Ba1 Ba 0.000 0.000 0.000
Fe1 Fe 0.000 0.000 0.490
Fe2 Fe 0.500 0.500 0.647
Co1 Co 0.500 0.500 0.339